(1)
## KSnSb (PBE-GGA)

Data for a relaxed KSnSb crystal.

Properties
As for the energy relative to the elements, uncorrected: -27 kJ per mole of atoms. The space group is P2_1/m (11). The relative energy among the computed polymorphs is 61.7 meV/atom. Its total magnetic moment is 0.0 μB/f.u.

Unit cell a=7.3753 b=4.5519 c=7.8842 alpha=90.00 beta=117.09 gamma=90.00
Fractional coordinates of all 6 atoms:
K: 0.1490 0.2500 0.3328
K: 0.8510 0.7500 0.6672
Sn: 0.3496 0.7500 0.0926
Sn: 0.6504 0.2500 0.9074
Sb: 0.3724 0.7500 0.7236
Sb: 0.6276 0.2500 0.2764

(2)
## KSnSb2 (PBE-GGA)

Data for a relaxed KSnSb2 crystal.

Properties
As for the energy relative to the elements, uncorrected: -6 kJ per mole of atoms. The space group is R-3m (166). Its total magnetic moment is 0.0 μB/f.u.

Unit cell a=9.4459 b=9.4459 c=9.4459 alpha=25.36 beta=25.36 gamma=25.36
Fractional coordinates of all 4 atoms:
K: 0.0000 0.0000 0.0000
Sn: 0.5000 0.5000 0.5000
Sb: 0.2331 0.2331 0.2331
Sb: 0.7669 0.7669 0.7669

(3)
## K3Sn2Sb4 (PBE-GGA)

Data for a relaxed K3Sn2Sb4 crystal.

Properties
As for the energy relative to the elements, uncorrected: -27 kJ per mole of atoms. The space group is C2/m (12). The relative energy among the computed polymorphs is 0.0 meV/atom. Its total magnetic moment is 0.0 μB/f.u.

Unit cell a=9.5336 b=9.5336 c=7.7035 alpha=113.49 beta=113.49 gamma=31.94
Fractional coordinates of all 9 atoms:
K: 0.0000 0.0000 0.0000
K: 0.1317 0.1317 0.5749
K: 0.8683 0.8683 0.4251
Sn: 0.3308 0.3308 0.0330
Sn: 0.6692 0.6692 0.9670
Sb: 0.2092 0.2092 0.1837
Sb: 0.4983 0.4983 0.3115
Sb: 0.5017 0.5017 0.6885
Sb: 0.7908 0.7908 0.8163

(4)
## KSnSb2 (PBE-GGA)

Data for a relaxed KSnSb2 crystal.

Properties
As for the energy relative to the elements, uncorrected: -16 kJ per mole of atoms. The space group is Amm2 (38). Its total magnetic moment is 0.0 μB/f.u.

Unit cell a=3.2697 b=6.3659 c=6.3659 alpha=65.65 beta=90.00 gamma=90.00
Fractional coordinates of all 4 atoms:
K: 0.0000 0.0000 0.0000
Sn: 0.5000 0.4716 0.4716
Sb: 0.5000 0.5148 0.9588
Sb: 0.5000 0.9588 0.5148

(5)
## K8SnSb4 (PBE-GGA)

Data for a relaxed K8SnSb4 crystal.

Properties
As for the energy relative to the elements, uncorrected: -44 kJ per mole of atoms. The space group is Fd-3m (227). Its total magnetic moment is 0.0 μB/f.u.

Unit cell a=11.6295 b=11.6295 c=11.6295 alpha=60.00 beta=60.00 gamma=60.00
Fractional coordinates of all 26 atoms:
K: 0.0000 0.0000 0.0000
K: 0.0000 0.0000 0.5000
K: 0.0000 0.5000 0.0000
K: 0.1477 0.1477 0.6023
K: 0.1477 0.6023 0.1477
K: 0.1477 0.6023 0.6023
K: 0.3977 0.3977 0.8523
K: 0.3977 0.8523 0.3977
K: 0.3977 0.8523 0.8523
K: 0.5000 0.0000 0.0000
K: 0.6023 0.1477 0.1477
K: 0.6023 0.1477 0.6023
K: 0.6023 0.6023 0.1477
K: 0.8523 0.3977 0.3977
K: 0.8523 0.3977 0.8523
K: 0.8523 0.8523 0.3977
Sn: 0.1250 0.1250 0.1250
Sn: 0.8750 0.8750 0.8750
Sb: 0.1851 0.7716 0.7716
Sb: 0.2284 0.2284 0.2284
Sb: 0.2284 0.2284 0.8149
Sb: 0.2284 0.8149 0.2284
Sb: 0.7716 0.1851 0.7716
Sb: 0.7716 0.7716 0.1851
Sb: 0.7716 0.7716 0.7716
Sb: 0.8149 0.2284 0.2284

(6)
## K3SnSb (PBE-GGA)

Data for a relaxed K3SnSb crystal.

Properties
As for the energy relative to the elements, uncorrected: 15 kJ per mole of atoms. The space group is Pm-3m (221). The relative energy among the computed polymorphs is 330.3 meV/atom. Its total magnetic moment is 2.0 μB/f.u.

Unit cell a=6.6715 b=6.6715 c=6.6715 alpha=90.00 beta=90.00 gamma=90.00
Fractional coordinates of all 5 atoms:
K: 0.0000 0.0000 0.5000
K: 0.0000 0.5000 0.0000
K: 0.5000 0.0000 0.0000
Sn: 0.5000 0.5000 0.5000
Sb: 0.0000 0.0000 0.0000

(7)
## KSnSb2 (PBE-GGA)

Data for a relaxed KSnSb2 crystal.

Properties
As for the energy relative to the elements, uncorrected: -6 kJ per mole of atoms. The space group is R3m (160). Its total magnetic moment is 0.0 μB/f.u.

Unit cell a=9.4367 b=9.4367 c=9.4367 alpha=25.39 beta=25.39 gamma=25.39
Fractional coordinates of all 4 atoms:
K: 0.0000 0.0000 0.0000
Sn: 0.8342 0.8342 0.8342
Sb: 0.2342 0.2342 0.2342
Sb: 0.4344 0.4344 0.4344

(8)
## KSnSb (PBE-GGA)

Data for a relaxed KSnSb crystal.

Properties
As for the energy relative to the elements, uncorrected: -33 kJ per mole of atoms. The space group is P6_3mc (186). The relative energy among the computed polymorphs is 0.0 meV/atom. Its total magnetic moment is 0.0 μB/f.u.

Unit cell a=4.4423 b=4.4423 c=13.2057 alpha=90.00 beta=90.00 gamma=120.00
Fractional coordinates of all 6 atoms:
K: 0.3333 0.6667 0.0000
K: 0.6667 0.3333 0.5000
Sn: 0.0000 0.0000 0.2977
Sn: 0.0000 0.0000 0.7977
Sb: 0.3333 0.6667 0.6887
Sb: 0.6667 0.3333 0.1887

(9)
## KSn4Sb2 (PBE-GGA)

Data for a relaxed KSn4Sb2 crystal.

Properties
As for the energy relative to the elements, uncorrected: -6 kJ per mole of atoms. The space group is C2/m (12). Its total magnetic moment is 0.0 μB/f.u.

Unit cell a=5.0292 b=5.0292 c=10.9581 alpha=103.67 beta=103.67 gamma=64.50
Fractional coordinates of all 7 atoms:
K: 0.0000 0.0000 0.0000
Sn: 0.1803 0.1803 0.5186
Sn: 0.4200 0.4200 0.2970
Sn: 0.5800 0.5800 0.7030
Sn: 0.8197 0.8197 0.4814
Sb: 0.2693 0.2693 0.7971
Sb: 0.7307 0.7307 0.2029

(10)
## KSnSb3 (PBE-GGA)

Data for a relaxed KSnSb3 crystal.

Properties
As for the energy relative to the elements, uncorrected: 33 kJ per mole of atoms. The space group is Pm-3m (221). The relative energy among the computed polymorphs is 423.1 meV/atom. Its total magnetic moment is 0.0 μB/f.u.

Unit cell a=5.7903 b=5.7903 c=5.7903 alpha=90.00 beta=90.00 gamma=90.00
Fractional coordinates of all 5 atoms:
K: 0.0000 0.0000 0.0000
Sn: 0.5000 0.5000 0.5000
Sb: 0.0000 0.5000 0.5000
Sb: 0.5000 0.0000 0.5000
Sb: 0.5000 0.5000 0.0000

(11)
## K2SnSb (PBE-GGA)

Data for a relaxed K2SnSb crystal.

Properties
As for the energy relative to the elements, uncorrected: -24 kJ per mole of atoms. The space group is Cmcm (63). The relative energy among the computed polymorphs is 0.0 meV/atom. Its total magnetic moment is 0.0 μB/f.u.

Unit cell a=7.0223 b=7.0223 c=5.9646 alpha=90.00 beta=90.00 gamma=78.99
Fractional coordinates of all 8 atoms:
K: 0.0316 0.3396 0.2500
K: 0.3396 0.0316 0.7500
K: 0.6604 0.9684 0.2500
K: 0.9684 0.6604 0.7500
Sn: 0.5000 0.5000 0.0000
Sn: 0.5000 0.5000 0.5000
Sb: 0.1783 0.8217 0.2500
Sb: 0.8217 0.1783 0.7500

(12)
## K2SnSb (PBE-GGA)

Data for a relaxed K2SnSb crystal.

Properties
As for the energy relative to the elements, uncorrected: -1 kJ per mole of atoms. The space group is I-42d (122). The relative energy among the computed polymorphs is 232.3 meV/atom. Its total magnetic moment is 0.0 μB/f.u.

Unit cell a=7.7299 b=7.7299 c=7.7299 alpha=98.97 beta=98.97 gamma=133.48
Fractional coordinates of all 8 atoms:
K: 0.0972 0.1250 0.4722
K: 0.3750 0.9028 0.0278
K: 0.6528 0.6250 0.5278
K: 0.8750 0.3472 0.9722
Sn: 0.2500 0.7500 0.5000
Sn: 0.5000 0.5000 0.0000
Sb: 0.0000 0.0000 0.0000
Sb: 0.7500 0.2500 0.5000

(13)
## K2SnSb (PBE-GGA)

Data for a relaxed K2SnSb crystal.

Properties
As for the energy relative to the elements, uncorrected: -16 kJ per mole of atoms. The space group is Cm (8). The relative energy among the computed polymorphs is 79.5 meV/atom. Its total magnetic moment is 0.0 μB/f.u.

Unit cell a=6.7884 b=6.7884 c=5.9029 alpha=115.65 beta=115.65 gamma=49.45
Fractional coordinates of all 4 atoms:
K: 0.0000 0.0000 0.0000
K: 0.6348 0.6348 0.6344
Sn: 0.3173 0.3173 0.5372
Sb: 0.3173 0.3173 0.0399

(14)
## KSn3Sb3 (PBE-GGA)

Data for a relaxed KSn3Sb3 crystal.

Properties
As for the energy relative to the elements, uncorrected: -9 kJ per mole of atoms. The space group is R-3 (148). The relative energy among the computed polymorphs is 0.0 meV/atom. Its total magnetic moment is 0.0 μB/f.u.

Unit cell a=9.2892 b=9.2892 c=9.2892 alpha=57.87 beta=57.87 gamma=57.87
Fractional coordinates of all 14 atoms:
K: 0.1670 0.1670 0.1670
K: 0.8330 0.8330 0.8330
Sn: 0.0490 0.3815 0.7161
Sn: 0.2839 0.9510 0.6185
Sn: 0.3815 0.7161 0.0490
Sn: 0.6185 0.2839 0.9510
Sn: 0.7161 0.0490 0.3815
Sn: 0.9510 0.6185 0.2839
Sb: 0.0821 0.7424 0.4110
Sb: 0.2576 0.5890 0.9179
Sb: 0.4110 0.0821 0.7424
Sb: 0.5890 0.9179 0.2576
Sb: 0.7424 0.4110 0.0821
Sb: 0.9179 0.2576 0.5890

(15)
## KSnSb2 (PBE-GGA)

Data for a relaxed KSnSb2 crystal.

Properties
As for the energy relative to the elements, uncorrected: -7 kJ per mole of atoms. The space group is I-42d (122). Its total magnetic moment is 0.0 μB/f.u.

Unit cell a=7.2165 b=7.2165 c=7.2165 alpha=106.71 beta=106.71 gamma=115.15
Fractional coordinates of all 8 atoms:
K: 0.0000 0.0000 0.0000
K: 0.7500 0.2500 0.5000
Sn: 0.2500 0.7500 0.5000
Sn: 0.5000 0.5000 0.0000
Sb: 0.1850 0.1250 0.5600
Sb: 0.3750 0.8150 0.9400
Sb: 0.5650 0.6250 0.4400
Sb: 0.8750 0.4350 0.0600

(16)
## KSn4Sb2 (PBE-GGA)

Data for a relaxed KSn4Sb2 crystal.

Properties
As for the energy relative to the elements, uncorrected: -6 kJ per mole of atoms. The space group is P4_2/mnm (136). Its total magnetic moment is 0.0 μB/f.u.

Unit cell a=9.8493 b=9.8493 c=4.7771 alpha=90.00 beta=90.00 gamma=90.00
Fractional coordinates of all 14 atoms:
K: 0.0000 0.0000 0.0000
K: 0.5000 0.5000 0.5000
Sn: 0.0725 0.3438 0.5000
Sn: 0.1562 0.5725 0.0000
Sn: 0.3438 0.0725 0.5000
Sn: 0.4275 0.8438 0.0000
Sn: 0.5725 0.1562 0.0000
Sn: 0.6562 0.9275 0.5000
Sn: 0.8438 0.4275 0.0000
Sn: 0.9275 0.6562 0.5000
Sb: 0.2228 0.7772 0.5000
Sb: 0.2772 0.2772 0.0000
Sb: 0.7228 0.7228 0.0000
Sb: 0.7772 0.2228 0.5000

(17)
## K2SnSb3 (PBE-GGA)

Data for a relaxed K2SnSb3 crystal.

Properties
As for the energy relative to the elements, uncorrected: -20 kJ per mole of atoms. The space group is P-3m1 (164). Its total magnetic moment is 0.6 μB/f.u.

Unit cell a=7.2118 b=7.2118 c=10.1995 alpha=90.00 beta=90.00 gamma=120.00
Fractional coordinates of all 12 atoms:
K: 0.0000 0.0000 0.0000
K: 0.0000 0.0000 0.5000
K: 0.3333 0.6667 0.1195
K: 0.6667 0.3333 0.8805
Sn: 0.3333 0.6667 0.5286
Sn: 0.6667 0.3333 0.4714
Sb: 0.1940 0.3880 0.7622
Sb: 0.1940 0.8060 0.7622
Sb: 0.3880 0.1940 0.2378
Sb: 0.6120 0.8060 0.7622
Sb: 0.8060 0.1940 0.2378
Sb: 0.8060 0.6120 0.2378

(18)
## K6SnSb4 (PBE-GGA)

Data for a relaxed K6SnSb4 crystal.

Properties
As for the energy relative to the elements, uncorrected: -33 kJ per mole of atoms. The space group is P6_3mc (186). Its total magnetic moment is 1.9 μB/f.u.

Unit cell a=11.6860 b=11.6860 c=7.7248 alpha=90.00 beta=90.00 gamma=120.00
Fractional coordinates of all 22 atoms:
K: 0.0260 0.5130 0.0000
K: 0.1519 0.3038 0.7370
K: 0.1519 0.8481 0.7370
K: 0.3038 0.1519 0.2370
K: 0.4870 0.5130 0.0000
K: 0.4870 0.9740 0.0000
K: 0.5130 0.0260 0.5000
K: 0.5130 0.4870 0.5000
K: 0.6962 0.8481 0.7370
K: 0.8481 0.1519 0.2370
K: 0.8481 0.6962 0.2370
K: 0.9740 0.4870 0.5000
Sn: 0.3333 0.6667 0.3460
Sn: 0.6667 0.3333 0.8460
Sb: 0.1948 0.3896 0.2644
Sb: 0.1948 0.8052 0.2644
Sb: 0.3333 0.6667 0.7201
Sb: 0.3896 0.1948 0.7644
Sb: 0.6104 0.8052 0.2644
Sb: 0.6667 0.3333 0.2201
Sb: 0.8052 0.1948 0.7644
Sb: 0.8052 0.6104 0.7644

(19)
## KSnSb (PBE-GGA)

Data for a relaxed KSnSb crystal.

Properties
As for the energy relative to the elements, uncorrected: -18 kJ per mole of atoms. The space group is P-6m2 (187). The relative energy among the computed polymorphs is 163.8 meV/atom. Its total magnetic moment is 0.0 μB/f.u.

Unit cell a=5.5501 b=5.5501 c=3.5736 alpha=90.00 beta=90.00 gamma=120.00
Fractional coordinates of all 3 atoms:
K: 0.0000 0.0000 0.0000
Sn: 0.3333 0.6667 0.5000
Sb: 0.6667 0.3333 0.5000

(20)
## KSn8Sb2 (PBE-GGA)

Data for a relaxed KSn8Sb2 crystal.

Properties
As for the energy relative to the elements, uncorrected: 0 kJ per mole of atoms. The space group is C2/m (12). Its total magnetic moment is 0.0 μB/f.u.

Unit cell a=8.9218 b=8.9218 c=6.5575 alpha=107.32 beta=107.32 gamma=43.67
Fractional coordinates of all 11 atoms:
K: 0.0000 0.0000 0.0000
Sn: 0.1189 0.6452 0.4437
Sn: 0.2896 0.2896 0.8658
Sn: 0.3548 0.8811 0.5563
Sn: 0.4820 0.4820 0.2129
Sn: 0.5180 0.5180 0.7871
Sn: 0.6452 0.1189 0.4437
Sn: 0.7104 0.7104 0.1342
Sn: 0.8811 0.3548 0.5563
Sb: 0.2255 0.2255 0.2485
Sb: 0.7745 0.7745 0.7515